1.
DFT (PBE) results for crystalline Si2Au9 at its relaxed geometry.

The energy comes out at -3.624 eV per atom.

It has space group P2_1/m (No. 11), with a = 6.512 Å, b = 9.157 Å, c = 7.092 Å, α = 90.00°, β = 104.35° and γ = 90.00°. The distinct sites, in fractional coordinates, are Si at (0.037, 0.250, 0.062), Si at (0.104, 0.250, 0.533), Au at (0.006, 0.046, 0.295), Au at (0.167, 0.750, 0.289), Au at (0.301, 0.060, 0.041), Au at (0.357, 0.750, 0.983), Au at (0.390, 0.066, 0.641) and Au at (0.484, 0.750, 0.637).


2.
DFT (PBE) results for crystalline SiAu2 at its relaxed geometry.

The energy comes out at -4.004 eV per atom.

It has space group Pna2_1 (No. 33), with a = 8.400 Å, b = 5.948 Å, c = 4.552 Å, α = 90.00°, β = 90.00° and γ = 90.00°. The distinct sites, in fractional coordinates, are Si at (0.152, 0.227, 0.000), Au at (0.095, 0.586, 0.267) and Au at (0.102, 0.051, 0.488).


3.
DFT (PBE) results for crystalline SiAu2 at its relaxed geometry.

The energy comes out at -3.420 eV per atom.

It has space group Fd-3m (No. 227, origin choice 2), with a = 10.938 Å, b = 10.938 Å, c = 10.938 Å, α = 90.00°, β = 90.00° and γ = 90.00°. The distinct sites, in fractional coordinates, are Si at (0.125, 0.125, 0.125) and Au at (0.000, 0.000, 0.000).


4.
DFT (PBE) results for crystalline SiAu2 at its relaxed geometry.

The energy comes out at -3.507 eV per atom.

It has space group Fd-3m (No. 227, origin choice 2), with a = 7.780 Å, b = 7.780 Å, c = 7.780 Å, α = 90.00°, β = 90.00° and γ = 90.00°. The distinct sites, in fractional coordinates, are Si at (0.125, 0.125, 0.125) and Au at (0.000, 0.000, 0.500).


5.
DFT (PBE) results for crystalline SmSiAu at its relaxed geometry.

Its total magnetic moment is 0.01 μB/f.u. The energy comes out at -4.542 eV per atom.

It has space group F-43m (No. 216), with a = 6.811 Å, b = 6.811 Å, c = 6.811 Å, α = 90.00°, β = 90.00° and γ = 90.00°. The distinct sites, in fractional coordinates, are Sm at (0.000, 0.000, 0.000), Si at (0.250, 0.250, 0.250) and Au at (0.250, 0.250, 0.750).


6.
DFT (PBE) results for crystalline SmSiAu at its relaxed geometry.

Its total magnetic moment is 0.00 μB/f.u. The energy comes out at -5.089 eV per atom.

It has space group F-43m (No. 216), with a = 6.575 Å, b = 6.575 Å, c = 6.575 Å, α = 90.00°, β = 90.00° and γ = 90.00°. The distinct sites, in fractional coordinates, are Sm at (0.000, 0.000, 0.000), Si at (0.000, 0.000, 0.500) and Au at (0.250, 0.250, 0.750).


7.
DFT (PBE) results for crystalline TbSm2Zn2Si4Au2 at its relaxed geometry.

Its total magnetic moment is 0.00 μB/f.u. The energy comes out at -4.692 eV per atom.

It has space group Immm (No. 71), with a = 4.178 Å, b = 4.196 Å, c = 24.726 Å, α = 90.00°, β = 90.00° and γ = 90.00°. The distinct sites, in fractional coordinates, are Tb at (0.000, 0.000, 0.000), Sm at (0.000, 0.500, 0.144), Zn at (0.000, 0.500, 0.407), Si at (0.000, 0.000, 0.453), Si at (0.000, 0.500, 0.311) and Au at (0.000, 0.000, 0.251).


8.
DFT (PBE) results for crystalline TbSm2Zn2Si4Au2 at its relaxed geometry.

Its total magnetic moment is 0.01 μB/f.u. The energy comes out at -4.740 eV per atom.

It has space group Immm (No. 71), with a = 4.096 Å, b = 4.237 Å, c = 25.078 Å, α = 90.00°, β = 90.00° and γ = 90.00°. The distinct sites, in fractional coordinates, are Tb at (0.000, 0.000, 0.000), Sm at (0.000, 0.500, 0.147), Zn at (0.000, 0.000, 0.251), Si at (0.000, 0.000, 0.453), Si at (0.000, 0.500, 0.308) and Au at (0.000, 0.500, 0.406).


9.
DFT (PBE) results for crystalline SmSi2TcAu at its relaxed geometry.

Its total magnetic moment is 0.01 μB/f.u. The energy comes out at -6.439 eV per atom.

It has space group I-4m2 (No. 119), with a = 4.156 Å, b = 4.156 Å, c = 10.365 Å, α = 90.00°, β = 90.00° and γ = 90.00°. The distinct sites, in fractional coordinates, are Sm at (0.000, 0.000, 0.000), Si at (0.000, 0.000, 0.383), Tc at (0.000, 0.500, 0.750) and Au at (0.000, 0.500, 0.250).


10.
DFT (PBE) results for crystalline Sm2YZn2Si4Au2 at its relaxed geometry.

Its total magnetic moment is 0.00 μB/f.u. The energy comes out at -4.859 eV per atom.

It has space group Immm (No. 71), with a = 4.175 Å, b = 4.194 Å, c = 24.716 Å, α = 90.00°, β = 90.00° and γ = 90.00°. The distinct sites, in fractional coordinates, are Sm at (0.000, 0.000, 0.144), Y at (0.000, 0.500, 0.000), Zn at (0.000, 0.000, 0.407), Si at (0.000, 0.000, 0.311), Si at (0.000, 0.500, 0.453) and Au at (0.000, 0.500, 0.251).


11.
DFT (PBE) results for crystalline SiSnAu at its relaxed geometry.

The energy comes out at -4.162 eV per atom.

It has space group Pnma (No. 62), with a = 7.815 Å, b = 3.811 Å, c = 8.279 Å, α = 90.00°, β = 90.00° and γ = 90.00°. The distinct sites, in fractional coordinates, are Si at (0.096, 0.250, 0.019), Sn at (0.090, 0.250, 0.653) and Au at (0.187, 0.250, 0.316).


12.
DFT (PBE) results for crystalline SiSnAu at its relaxed geometry.

The energy comes out at -4.068 eV per atom.

It has space group F-43m (No. 216), with a = 6.466 Å, b = 6.466 Å, c = 6.466 Å, α = 90.00°, β = 90.00° and γ = 90.00°. The distinct sites, in fractional coordinates, are Si at (0.000, 0.000, 0.000), Sn at (0.000, 0.000, 0.500) and Au at (0.250, 0.250, 0.250).


13.
DFT (PBE) results for crystalline SiSnAu at its relaxed geometry.

The energy comes out at -4.123 eV per atom.

It has space group Pnma (No. 62), with a = 6.024 Å, b = 3.926 Å, c = 10.696 Å, α = 90.00°, β = 90.00° and γ = 90.00°. The distinct sites, in fractional coordinates, are Si at (0.128, 0.250, 0.042), Sn at (0.075, 0.250, 0.376) and Au at (0.011, 0.750, 0.189).


14.
DFT (PBE) results for crystalline Si3Sn2Au2 at its relaxed geometry.

The energy comes out at -4.107 eV per atom.

It has space group R3m (No. 160, hexagonal axes), with a = 4.5461 Å, b = 4.5461 Å, c = 24.6760 Å, α = 90.00°, β = 90.00° and γ = 120.00°. The distinct sites, in fractional coordinates, are Si at (0.0000, 0.0000, 0.0000), Si at (0.0000, 0.0000, 0.2167), Si at (0.0000, 0.0000, 0.5041), Sn at (0.0000, 0.0000, 0.1070), Sn at (0.0000, 0.0000, 0.6330), Au at (0.0000, 0.0000, 0.3914) and Au at (0.0000, 0.0000, 0.8703).


15.
DFT (PBE) results for crystalline Y3Si2Sn2Au4 at its relaxed geometry.

Its total magnetic moment is 0.00 μB/f.u. The energy comes out at -5.376 eV per atom.

It has space group Immm (No. 71), with a = 4.454 Å, b = 7.063 Å, c = 15.024 Å, α = 90.00°, β = 90.00° and γ = 90.00°. The distinct sites, in fractional coordinates, are Y at (0.000, 0.000, 0.000), Y at (0.000, 0.500, 0.120), Si at (0.000, 0.171, 0.500), Sn at (0.000, 0.000, 0.220) and Au at (0.000, 0.299, 0.349).


16.
DFT (PBE) results for crystalline SrSiAu at its relaxed geometry.

The energy comes out at -3.115 eV per atom.

It has space group F-43m (No. 216), with a = 7.094 Å, b = 7.094 Å, c = 7.094 Å, α = 90.00°, β = 90.00° and γ = 90.00°. The distinct sites, in fractional coordinates, are Sr at (0.000, 0.000, 0.000), Si at (0.250, 0.250, 0.250) and Au at (0.250, 0.250, 0.750).


17.
DFT (PBE) results for crystalline SrSiAu at its relaxed geometry.

The energy comes out at -3.670 eV per atom.

It has space group F-43m (No. 216), with a = 6.836 Å, b = 6.836 Å, c = 6.836 Å, α = 90.00°, β = 90.00° and γ = 90.00°. The distinct sites, in fractional coordinates, are Sr at (0.000, 0.000, 0.000), Si at (0.000, 0.000, 0.500) and Au at (0.250, 0.250, 0.750).


18.
DFT (PBE) results for crystalline SrSi2Au2 at its relaxed geometry.

The energy comes out at -4.309 eV per atom.

It has space group I4/mmm (No. 139), with a = 4.461 Å, b = 4.461 Å, c = 10.188 Å, α = 90.00°, β = 90.00° and γ = 90.00°. The distinct sites, in fractional coordinates, are Sr at (0.000, 0.000, 0.000), Si at (0.000, 0.000, 0.383) and Au at (0.000, 0.500, 0.250).


19.
DFT (PBE) results for crystalline SrSiAu3 at its relaxed geometry.

The energy comes out at -3.950 eV per atom.

It has space group Pc (No. 7), with a = 6.436 Å, b = 5.328 Å, c = 9.104 Å, α = 90.00°, β = 135.00° and γ = 90.00°. The distinct sites, in fractional coordinates, are Sr at (0.000, 0.000, 0.000), Si at (0.501, 0.297, 0.002), Au at (0.001, 0.500, 0.248), Au at (0.499, 0.500, 0.250) and Au at (0.501, 0.153, 0.501).


20.
DFT (PBE) results for crystalline SrSi2Au5 at its relaxed geometry.

The energy comes out at -3.960 eV per atom.

It has space group Immm (No. 71), with a = 4.429 Å, b = 7.204 Å, c = 10.127 Å, α = 90.00°, β = 90.00° and γ = 90.00°. The distinct sites, in fractional coordinates, are Sr at (0.000, 0.000, 0.000), Si at (0.000, 0.500, 0.244), Au at (0.000, 0.200, 0.353) and Au at (0.000, 0.500, 0.000).